Record 1
First-principles (PBE-GGA) data for an optimized crystal structure of Np2PdS4Cl, as listed in Alexandria.

Calculated values
Fermi-level density of states = 20.747 states/eV per cell
Total DFT energy (no corrections) = -57.77 eV/cell
SG = C2/m

Cell: 3.8814 6.2277 8.0407 Å, 61.11 76.03 71.84°
Closest atoms and distances in Å follow each position.
Sites, in units of the cell vectors:
S 0.6306 0.6823 0.0565  2 Pd 2.60, 3 Np 2.75-2.79
S 0.1661 0.9896 0.6783  1 Pd 2.54, 2 Np 2.70
S 0.3694 0.3177 0.9435  2 Pd 2.60, 3 Np 2.75-2.79
S 0.8339 0.0104 0.3217  1 Pd 2.54, 2 Np 2.70
Np 0.1843 0.3457 0.2858  6 S 2.70-2.85, 2 Cl 2.96
Np 0.8157 0.6543 0.7142  6 S 2.70-2.85, 2 Cl 2.96
Cl 0.5000 0.5000 0.5000  4 Np 2.96, 2 S 3.14
Pd 0.0000 0.0000 0.0000  6 S 2.54-2.60


Record 2
First-principles (PBE-GGA) data for an optimized crystal structure of PmNpCl6, as listed in Alexandria.

Calculated values
Fermi-level density of states = 4.646 states/eV per cell
Total DFT energy (no corrections) = -44.47 eV/cell
Energy above the most stable polymorph in this dataset = 0.003 eV/atom
SG = R-3

Cell: 6.8427 6.8424 7.5515 Å, 63.05 63.05 60.00°
Closest atoms and distances in Å follow each position.
Sites, in units of the cell vectors:
Cl 0.6013 0.2532 0.2465  1 Pm 2.74, 1 Np 2.75
Cl 0.8991 0.6012 0.2464  1 Pm 2.74, 1 Np 2.75
Cl 0.7467 0.1010 0.7536  1 Pm 2.74, 1 Np 2.75
Cl 0.2533 0.8990 0.2464  1 Pm 2.74, 1 Np 2.75
Cl 0.1009 0.3988 0.7536  1 Pm 2.74, 1 Np 2.75
Cl 0.3987 0.7468 0.7535  1 Pm 2.74, 1 Np 2.75
Pm 0.0000 0.0000 0.0000  6 Cl 2.74
Np 0.5000 0.5000 0.5000  6 Cl 2.75


Repeat the first record exactly.
First-principles (PBE-GGA) data for an optimized crystal structure of Np2PdS4Cl, as listed in Alexandria.

Calculated values
Fermi-level density of states = 20.747 states/eV per cell
Total DFT energy (no corrections) = -57.77 eV/cell
SG = C2/m

Cell: 3.8814 6.2277 8.0407 Å, 61.11 76.03 71.84°
Closest atoms and distances in Å follow each position.
Sites, in units of the cell vectors:
S 0.6306 0.6823 0.0565  2 Pd 2.60, 3 Np 2.75-2.79
S 0.1661 0.9896 0.6783  1 Pd 2.54, 2 Np 2.70
S 0.3694 0.3177 0.9435  2 Pd 2.60, 3 Np 2.75-2.79
S 0.8339 0.0104 0.3217  1 Pd 2.54, 2 Np 2.70
Np 0.1843 0.3457 0.2858  6 S 2.70-2.85, 2 Cl 2.96
Np 0.8157 0.6543 0.7142  6 S 2.70-2.85, 2 Cl 2.96
Cl 0.5000 0.5000 0.5000  4 Np 2.96, 2 S 3.14
Pd 0.0000 0.0000 0.0000  6 S 2.54-2.60


> Among the records above, which one has the lowest total DFT energy (no corrections)?

Np2PdS4Cl